Record 1
The following is a DFT calculation (PBE) of MgNbInCo after structural relaxation.

a = 4.5397 Å, b = 4.5397 Å, c = 4.5397 Å
α = 60.00°, β = 60.00°, γ = 60.00°
Each line ends with the local moment (μB).
Element x y z (fractional)
1 Co 0.7500 0.7500 0.7500  0.34
2 Nb 0.5000 0.5000 0.5000  0.03
3 Mg 0.2500 0.2500 0.2500  0.01
4 In 0.0000 0.0000 0.0000  0.00

Computed properties:
Space-group type: F-43m
Energy above the lowest structure with this stoichiometry (eV/atom): 0.000

Record 2
The following is a DFT calculation (PBE) of Li2Zr2AlGaNi2 after structural relaxation.

a = 4.3421 Å, b = 4.3421 Å, c = 6.1413 Å
α = 90.00°, β = 90.00°, γ = 90.00°
Element x y z (fractional)
1 Li 0.0000 0.5000 0.2511
2 Zr 0.5000 0.5000 0.5000
3 Ni 0.0000 0.5000 0.7515
4 Ga 0.0000 0.0000 0.5000
5 Li 0.5000 0.0000 0.7489
6 Ni 0.5000 0.0000 0.2485
7 Zr 0.0000 0.0000 0.0000
8 Al 0.5000 0.5000 0.0000

Computed properties:
Final energy (eV per atom): -5.3557
Space-group type: P-4m2

Record 3
The following is a DFT calculation (PBE) of U2Co15Ge2 after structural relaxation.

a = 8.2262 Å, b = 8.2230 Å, c = 8.2175 Å
α = 90.00°, β = 90.00°, γ = 120.01°
Each line ends with the local moment (μB).
Element x y z (fractional)
1 Co 0.1618 0.8385 0.5282  0.06
2 Co 0.3274 0.9628 0.2500  0.04
3 Co 0.8382 0.1615 0.0282  0.07
4 Co 0.3273 0.3644 0.2500  -0.01
5 Co 0.1618 0.8385 0.9718  0.07
6 Co 0.9627 0.3272 0.7500  -0.07
7 U 0.6665 0.3331 0.2500  0.54
8 U 0.0000 0.0000 0.2500  0.29
9 Co 0.5000 0.0000 0.5000  0.07
10 Co 0.5000 0.5000 0.0000  0.07
11 Co 0.3233 0.1615 0.4718  0.05
12 Co 0.5000 0.5000 0.5000  0.06
13 Co 0.6727 0.6356 0.7500  -0.01
14 Co 0.0000 0.5000 0.5000  0.06
15 Co 0.8384 0.6768 0.0282  -0.04
16 Co 0.1616 0.3232 0.9718  -0.04
17 Co 0.0372 0.3644 0.2500  0.01
18 Ge 0.6666 0.3331 0.9024  0.00
19 Ge 0.3334 0.6669 0.0976  0.00
20 Co 0.6355 0.6728 0.2500  -0.08
21 Co 0.6354 0.9628 0.2500  0.05
22 Co 0.5000 0.0000 0.0000  0.06
23 Co 0.8382 0.1615 0.4718  0.06
24 Ge 0.3334 0.6669 0.4024  0.00
25 Co 0.8384 0.6768 0.4718  -0.04
26 Co 0.0373 0.6728 0.2500  -0.07
27 Co 0.3233 0.1615 0.0282  0.06
28 Co 0.6726 0.0372 0.7500  0.04
29 Co 0.1616 0.3232 0.5282  -0.04
30 Ge 0.6666 0.3331 0.5976  0.00
31 Co 0.9628 0.6356 0.7500  0.01
32 Co 0.3646 0.0372 0.7500  0.05
33 U 0.3335 0.6669 0.7500  0.54
34 Co 0.6767 0.8385 0.9718  0.06
35 Co 0.3645 0.3272 0.7500  -0.08
36 Co 0.0000 0.5000 0.0000  0.05
37 U 0.0000 0.0000 0.7500  0.29
38 Co 0.6767 0.8385 0.5282  0.05

Computed properties:
Final energy (eV per atom): -7.2440
Space-group type: P6_3/mmc